DyMnAlO4 (PBE+U, relaxed); calculated total energy = -7.782 eV per atom; total magnetic moment = 10.00 Bohr magnetons per cell
1.0
-3.070 3.229 4.376
3.070 -3.229 4.376
3.070 3.229 -4.376
Dy Mn Al O
2 2 2 8
Cartesian
0.000 0.000 0.000
0.000 3.229 0.000
-1.535 1.614 2.188
1.535 1.614 2.188
3.070 1.614 -1.093
0.000 1.614 5.470
3.070 -0.078 2.109
3.070 3.151 -2.109
1.585 1.614 -0.017
4.555 1.614 -0.017
-1.485 1.614 4.394
1.485 1.614 4.394
0.000 0.078 6.486
0.000 3.307 2.267